No. 1
First-principles (PBE) data for a relaxed CoB4Rh5 crystal, as listed in the Alexandria database.

Results
E_form = -0.2374 eV per atom
symmetry = Immm, No. 71

Cell lengths 7.2150, 7.2150, 7.2150 Å; angles 155.48, 133.90, 52.90 degrees
Closest atoms and distances in Å follow each position.
Sites, in units of the cell vectors:
Co  0.0000  0.0000  0.0000  4 B 2.04
B  0.2102  0.2102  0.0000  6 Rh 2.15-2.21
B  0.2394  0.5000  0.7394  2 Co 2.04, 4 Rh 2.08-2.12
B  0.7606  0.5000  0.2606  2 Co 2.04, 4 Rh 2.08-2.12
B  0.7898  0.7898  0.0000  6 Rh 2.15-2.21
Rh  0.0820  0.3393  0.7427  4 B 2.08-2.21
Rh  0.4035  0.6607  0.7427  4 B 2.08-2.21
Rh  0.5000  0.0000  0.5000  4 B 2.12
Rh  0.5965  0.3393  0.2573  4 B 2.08-2.21
Rh  0.9180  0.6607  0.2573  4 B 2.08-2.21

=====

No. 2
First-principles (PBE) data for a relaxed HoTmZrSc3 crystal, as listed in the Alexandria database.

Results
E_form = 0.0591 eV per atom
symmetry = P2_1/m, No. 11

Cell lengths 9.9805, 3.3189, 9.9893 Å; angles 90.00, 109.50, 90.00 degrees
Closest atoms and distances in Å follow each position.
Sites, in units of the cell vectors:
Ho  0.1331  0.2500  0.1329  6 Sc 3.25-3.41, 2 Zr 3.30, 4 Ho 3.32-3.49
Ho  0.8669  0.7500  0.8671  6 Sc 3.25-3.41, 2 Zr 3.30, 4 Ho 3.32-3.49
Tm  0.2955  0.2500  0.6210  3 Zr 3.21-3.28, 7 Sc 3.31-3.38, 2 Tm 3.32
Tm  0.7045  0.7500  0.3790  3 Zr 3.21-3.28, 7 Sc 3.31-3.38, 2 Tm 3.32
Zr  0.3825  0.7500  0.3782  3 Tm 3.21-3.28, 4 Zr 3.22-3.32, 3 Sc 3.28-3.39, 2 Ho 3.30
Zr  0.6175  0.2500  0.6218  3 Tm 3.21-3.28, 4 Zr 3.22-3.32, 3 Sc 3.28-3.39, 2 Ho 3.30
Sc  0.0426  0.7500  0.3762  2 Ho 3.31, 3 Tm 3.31-3.38, 6 Sc 3.32-3.35, 1 Zr 3.39
Sc  0.2111  0.7500  0.8748  7 Sc 3.32-3.35, 2 Tm 3.36, 3 Ho 3.37-3.41
Sc  0.4568  0.2500  0.1280  1 Ho 3.25, 2 Zr 3.28, 7 Sc 3.32-3.39, 2 Tm 3.32
Sc  0.5432  0.7500  0.8720  1 Ho 3.25, 2 Zr 3.28, 7 Sc 3.32-3.39, 2 Tm 3.32
Sc  0.7889  0.2500  0.1252  7 Sc 3.32-3.35, 2 Tm 3.36, 3 Ho 3.37-3.41
Sc  0.9574  0.2500  0.6238  2 Ho 3.31, 3 Tm 3.31-3.38, 6 Sc 3.32-3.35, 1 Zr 3.39

=====

No. 3
First-principles (PBE) data for a relaxed LaBeNi2Pt crystal, as listed in the Alexandria database.

Results
E_form = 0.7447 eV per atom
symmetry = P4/mmm, No. 123

Cell lengths 4.7402, 4.7402, 5.3352 Å; angles 90.00, 90.00, 90.00 degrees
Closest atoms and distances in Å follow each position.
Sites, in units of the cell vectors:
La  0.0000  0.0000  0.0000  2 Pt 2.67
Be  0.5000  0.5000  0.0000  4 La 3.35, 8 Ni 3.57
Ni  0.0000  0.5000  0.5000  2 Pt 2.37
Ni  0.5000  0.0000  0.5000  2 Pt 2.37
Pt  0.0000  0.0000  0.5000  4 Ni 2.37

=====

No. 4
First-principles (PBE) data for a relaxed NpGe2Pt crystal, as listed in the Alexandria database.

Results
E_form = -0.4477 eV per atom
symmetry = Immm, No. 71

Cell lengths 9.5918, 9.5918, 9.5918 Å; angles 153.53, 125.64, 61.45 degrees
Closest atoms and distances in Å follow each position.
Sites, in units of the cell vectors:
Np  0.2015  0.2015  0.0000  8 Ge 3.04-3.06, 6 Pt 3.24-3.30
Np  0.2334  0.0000  0.2334  10 Ge 3.24-3.45, 4 Pt 3.29
Np  0.7666  0.0000  0.7666  10 Ge 3.24-3.45, 4 Pt 3.29
Np  0.7985  0.7985  0.0000  8 Ge 3.04-3.06, 6 Pt 3.24-3.30
Ge  0.0742  0.5742  0.5000  1 Ge 2.45, 2 Pt 2.52
Ge  0.1500  0.8004  0.3496  3 Pt 2.51-2.67, 1 Ge 2.64
Ge  0.4269  0.4269  0.0000  1 Ge 2.41, 2 Pt 2.50
Ge  0.4509  0.8004  0.6504  3 Pt 2.51-2.67, 1 Ge 2.64
Ge  0.5491  0.1996  0.3496  3 Pt 2.51-2.67, 1 Ge 2.64
Ge  0.5731  0.5731  0.0000  1 Ge 2.41, 2 Pt 2.50
Ge  0.8500  0.1996  0.6504  3 Pt 2.51-2.67, 1 Ge 2.64
Ge  0.9258  0.4258  0.5000  1 Ge 2.45, 2 Pt 2.52
Pt  0.1039  0.3519  0.7520  5 Ge 2.50-2.67
Pt  0.4000  0.6481  0.7520  5 Ge 2.50-2.67
Pt  0.6000  0.3519  0.2480  5 Ge 2.50-2.67
Pt  0.8961  0.6481  0.2480  5 Ge 2.50-2.67

=====

No. 5
First-principles (PBE) data for a relaxed Rb2PPtO crystal, as listed in the Alexandria database.

Results
ΔE_f (raw) = -19.4 kJ/mol of atoms
symmetry = P4/mmm, No. 123

Cell lengths 6.5685, 6.5685, 4.3342 Å; angles 90.00, 90.00, 90.00 degrees
Closest atoms and distances in Å follow each position.
Sites, in units of the cell vectors:
Rb  0.0000  0.5000  0.0000  2 Pt 3.28
Rb  0.5000  0.0000  0.0000  2 Pt 3.28
P  0.0000  0.0000  0.5000  2 Pt 2.17
Pt  0.0000  0.0000  0.0000  2 P 2.17
O  0.5000  0.5000  0.5000  8 Rb 3.93, 2 O 4.33

=====

No. 6
First-principles (PBE) data for a relaxed PuZnSiPd3 crystal, as listed in the Alexandria database.

Results
ΔE_f (raw) = -36.1 kJ/mol of atoms
symmetry = Cmcm, No. 63

Cell lengths 8.3168, 8.3168, 5.6500 Å; angles 90.00, 90.00, 140.78 degrees
Closest atoms and distances in Å follow each position.
Sites, in units of the cell vectors:
Pu  0.1971  0.8029  0.7500  4 Pd 2.85-3.02, 2 Zn 3.17
Pu  0.8029  0.1971  0.2500  4 Pd 2.85-3.02, 2 Zn 3.17
Zn  0.1058  0.8942  0.2500  5 Pd 2.49-2.58
Zn  0.8942  0.1058  0.7500  5 Pd 2.49-2.58
Si  0.4157  0.5843  0.2500  5 Pd 2.37-2.39
Si  0.5843  0.4157  0.7500  5 Pd 2.37-2.39
Pd  0.2469  0.2469  0.0000  2 Si 2.39, 2 Zn 2.58
Pd  0.2469  0.2469  0.5000  2 Si 2.39, 2 Zn 2.58
Pd  0.2646  0.7354  0.2500  1 Si 2.37, 1 Zn 2.49
Pd  0.7354  0.2646  0.7500  1 Si 2.37, 1 Zn 2.49
Pd  0.7531  0.7531  0.0000  2 Si 2.39, 2 Zn 2.58
Pd  0.7531  0.7531  0.5000  2 Si 2.39, 2 Zn 2.58

=====

No. 7
First-principles (PBE) data for a relaxed Nd2Th4Sb3H2 crystal, as listed in the Alexandria database.

Results
E_tot = -64.81 eV per cell
symmetry = I4/mmm, No. 139

Cell lengths 13.8300, 13.8300, 13.8300 Å; angles 160.52, 160.52, 27.69 degrees
Closest atoms and distances in Å follow each position.
Sites, in units of the cell vectors:
Nd  0.2031  0.2031  0.0000  5 Sb 3.24-3.39
Nd  0.7969  0.7969  0.0000  5 Sb 3.24-3.39
Th  0.0846  0.5846  0.5000  2 H 2.39
Th  0.4154  0.9154  0.5000  2 H 2.39
Th  0.5846  0.0846  0.5000  2 H 2.39
Th  0.9154  0.4154  0.5000  2 H 2.39
Sb  0.3239  0.3239  0.0000  5 Nd 3.24-3.39, 4 Th 3.39
Sb  0.5000  0.5000  0.0000  8 Th 3.26
Sb  0.6761  0.6761  0.0000  5 Nd 3.24-3.39, 4 Th 3.39
H  0.0672  0.0672  0.0000  4 Th 2.39
H  0.9328  0.9328  0.0000  4 Th 2.39

=====

No. 8
First-principles (PBE) data for a relaxed Si4Ni crystal, as listed in the Alexandria database.

Results
ΔE_f (raw) = 54.8 kJ/mol of atoms
relative energy among the computed polymorphs = 0.374 eV/atom
symmetry = Pm-3m, No. 221

Cell lengths 4.3742, 4.3742, 4.3742 Å; angles 90.00, 90.00, 90.00 degrees
Closest atoms and distances in Å follow each position.
Sites, in units of the cell vectors:
Si  0.0000  0.0000  0.0000  12 Si 3.09
Si  0.0000  0.5000  0.5000  2 Ni 2.19
Si  0.5000  0.0000  0.5000  2 Ni 2.19
Si  0.5000  0.5000  0.0000  2 Ni 2.19
Ni  0.5000  0.5000  0.5000  6 Si 2.19

=====

No. 9
First-principles (PBE) data for a relaxed CsErHgO3 crystal, as listed in the Alexandria database.

Results
ΔE_f (raw) = -184.0 kJ/mol of atoms
symmetry = P2_1/m, No. 11

Cell lengths 7.6007, 3.5765, 9.4582 Å; angles 90.00, 96.60, 90.00 degrees
Closest atoms and distances in Å follow each position.
Sites, in units of the cell vectors:
Cs  0.0705  0.2500  0.2964  5 O 2.99-3.17
Cs  0.9295  0.7500  0.7036  5 O 2.99-3.17
Er  0.4637  0.7500  0.6472  6 O 2.20-2.40
Er  0.5363  0.2500  0.3528  6 O 2.20-2.40
Hg  0.3282  0.2500  0.9235  2 O 2.01-2.06
Hg  0.6718  0.7500  0.0765  2 O 2.01-2.06
O  0.2744  0.2500  0.7053  1 Hg 2.06
O  0.3784  0.7500  0.4172  3 Er 2.20-2.28
O  0.3871  0.2500  0.1360  1 Hg 2.01, 1 Er 2.23
O  0.6129  0.7500  0.8640  1 Hg 2.01, 1 Er 2.23
O  0.6216  0.2500  0.5828  3 Er 2.20-2.28
O  0.7256  0.7500  0.2947  1 Hg 2.06

=====

No. 10
First-principles (PBE) data for a relaxed Ta3C crystal, as listed in the Alexandria database.

Results
relative energy among the computed polymorphs = 1.369 eV/atom
E_form = 1.0070 eV per atom
symmetry = I4/mmm, No. 139

Cell lengths 5.2209, 5.2209, 5.2209 Å; angles 138.61, 138.61, 59.97 degrees
Closest atoms and distances in Å follow each position.
Sites, in units of the cell vectors:
Ta  0.0000  0.0000  0.0000  4 C 2.61, 8 Ta 2.92
Ta  0.2500  0.7500  0.5000  8 Ta 2.61-2.92, 4 C 2.92
Ta  0.7500  0.2500  0.5000  8 Ta 2.61-2.92, 4 C 2.92
C  0.5000  0.5000  0.0000  12 Ta 2.61-2.92

=====

| no. | M_tot (μB per cell) |
| --- | --- |
| 1 | 0.70 |
| 2 | 0.00 |
| 3 | 1.47 |
| 4 | 15.93 |
| 5 | 1.19 |
| 6 | 11.26 |
| 7 | 0.00 |
| 8 | 0.00 |
| 9 | 0.08 |
| 10 | 0.00 |